[1]
4
Lattice="5.051 0.000 0.000 2.526 4.375 0.000 2.526 1.458 4.125" Properties=species:S:1:pos:R:3 comment="LiTbIn2, single point on PBEsol structure, DFT SCAN" e_form_mev_per_atom=-529 e_tot_ry_per_atom=-2.169 n_ef_per_ev_atom=0.24 magnetic_moment_mub_per_fu=0.00 sg="Fm-3m, No. 225" pbc="T T T"
In 7.577 4.375 3.093
In 2.526 1.458 1.031
Tb 5.051 2.916 2.062
Li 0.000 0.000 0.000

***

[2]
4
Lattice="3.754 0.000 0.000 0.000 3.754 0.000 0.000 0.000 7.674" Properties=species:S:1:pos:R:3 comment="BaYAg2, single point on PBEsol structure, DFT SCAN" e_form_mev_per_atom=-292 e_tot_ry_per_atom=-2.413 relative_energy_kcal_per_mol_atoms=0.00 n_ef_per_ev_atom=0.83 magnetic_moment_mub_per_fu=0.00 sg="P4/mmm, No. 123" pbc="T T T"
Ag 0.000 0.000 2.335
Ag 0.000 0.000 5.339
Ba 1.877 1.877 0.000
Y 1.877 1.877 3.837

***

[3]
4
Lattice="-1.364 1.598 2.483 -3.140 0.541 -2.072 -0.580 -7.532 2.398" Properties=species:S:1:pos:R:3 comment="TaPBr2, single point on PBEsol structure, DFT SCAN" e_form_raw_ev_per_atom=-0.22 e_tot_ry_per_atom=-2.145 relative_energy_kcal_per_mol_atoms=0.00 n_ef_per_ev_atom=0.47 magnetic_moment_mub_per_fu=0.00 sg="Immm, No. 71" pbc="T T T"
Ta -1.570 0.270 -1.036
Br -3.112 -0.893 0.996
Br -1.972 -4.500 1.813
P -0.682 0.799 1.242

***

[4]
5
Lattice="4.542 0.000 0.000 0.000 4.542 0.000 -2.271 -2.271 6.527" Properties=species:S:1:pos:R:3 comment="LaY2Zn2, single point on PBEsol structure, DFT SCAN" e_form_mev_per_atom=-4 e_tot_ry_per_atom=-1.850 relative_energy_kcal_per_mol_atoms=6.46 n_ef_per_ev_atom=1.02 magnetic_moment_mub_per_fu=0.66 sg="I4/mmm, No. 139" pbc="T T T"
La 0.000 0.000 0.000
Y 0.000 0.000 4.897
Y 2.271 2.271 1.630
Zn 2.271 0.000 3.264
Zn 0.000 2.271 3.264

***

[5]
8
Lattice="3.494 0.000 0.000 0.000 4.881 0.000 -1.747 0.000 8.998" Properties=species:S:1:pos:R:3 comment="Ca2AuN, single point on PBEsol structure, DFT SCAN" e_form_raw_ev_per_atom=-0.98 e_tot_ry_per_atom=-1.868 n_ef_per_ev_atom=0.10 magnetic_moment_mub_per_fu=0.00 sg="Cmcm, No. 63" pbc="T T T"
Ca 0.000 3.661 3.877
Ca 0.000 3.661 7.130
Au 1.747 1.220 8.276
Ca 1.747 1.220 5.121
Ca 1.747 1.220 1.868
Au 0.000 3.661 0.722
N 1.747 3.661 5.521
N 0.000 1.220 3.477

***

[6]
5
Lattice="3.600 0.000 0.000 1.800 3.974 0.000 1.800 0.000 3.974" Properties=species:S:1:pos:R:3 comment="LiCu4, single point on PBEsol structure, DFT SCAN" e_form_mev_per_atom=-15 e_tot_ry_per_atom=-0.930 n_ef_per_ev_atom=0.28 magnetic_moment_mub_per_fu=0.00 sg="I4/m, No. 87" pbc="T T T"
Cu 1.800 1.589 0.809
Cu 3.600 0.809 2.384
Li 0.000 0.000 0.000
Cu 3.600 3.165 1.589
Cu 5.400 2.384 3.165